No. 1
Density functional theory data (PBE) for a relaxed structure of Ba2SrCaCl.

Unit cell a=6.4172 b=6.4172 c=5.8714 alpha=90.00 beta=90.00 gamma=90.00
Space group P4/mmm (No. 123)
Unique sites:
Ba  0.0000  0.5000  0.0000 (multiplicity 2)
Sr  0.0000  0.0000  0.5000 (multiplicity 1)
Ca  0.5000  0.5000  0.5000 (multiplicity 1)
Cl  0.0000  0.0000  0.0000 (multiplicity 1)

Summary:
Uncorrected formation energy, kJ per mole of atoms: -61

---

No. 2
Density functional theory data (PBE) for a relaxed structure of PrSiB.

Unit cell a=3.6154 b=3.6154 c=4.4596 alpha=90.00 beta=90.00 gamma=120.00
Space group P-6m2 (No. 187)
Unique sites:
Pr  0.0000  0.0000  0.0000 (multiplicity 1)
Si  0.6667  0.3333  0.5000 (multiplicity 1)
B  0.3333  0.6667  0.5000 (multiplicity 1)

Summary:
Uncorrected formation energy, kJ per mole of atoms: -56

---

No. 3
Density functional theory data (PBE) for a relaxed structure of NdDy2ErS6.

Unit cell a=6.9674 b=6.9674 c=18.5652 alpha=90.00 beta=90.00 gamma=120.00
Space group R3 (No. 146, hexagonal axes)
Unique sites:
Nd  0.0000  0.0000  0.0000 (multiplicity 3)
Dy  0.0000  0.0000  0.2922 (multiplicity 3)
Dy  0.0000  0.0000  0.7960 (multiplicity 3)
Er  0.0000  0.0000  0.4939 (multiplicity 3)
S  0.0171  0.7151  0.3940 (multiplicity 9)
S  0.0289  0.3613  0.5596 (multiplicity 9)

Summary:
Uncorrected formation energy, kJ per mole of atoms: -197

---

No. 4
Density functional theory data (PBE) for a relaxed structure of Li2Ca2Pd5Pb.

Unit cell a=9.6352 b=9.6352 c=3.8817 alpha=90.00 beta=90.00 gamma=90.00
Space group P4/mbm (No. 127)
Unique sites:
Li  0.1180  0.3820  0.0000 (multiplicity 4)
Ca  0.1796  0.6796  0.0000 (multiplicity 4)
Pd  0.0000  0.5000  0.5000 (multiplicity 2)
Pd  0.0666  0.2152  0.5000 (multiplicity 8)
Pb  0.0000  0.0000  0.0000 (multiplicity 2)

Summary:
ΔH_f (0 K), eV/f.u.: -5.5